--- A ---
A plane-wave DFT calculation with PBE was carried out for a relaxed Ta2CuO6 crystal.

Cell: 5.3905 5.3905 5.7023 Å, 58.07 58.07 58.45°
Closest atoms and distances in Å follow each position.
Sites, in units of the cell vectors:
O: 0.2250 0.1501 0.5373  2 Ta 1.97-2.06, 1 Cu 2.01
O: 0.6021 0.3979 0.5000  2 Ta 2.04
O: 0.8499 0.7750 0.4627  2 Ta 1.97-2.06, 1 Cu 2.01
Ta: 0.9989 0.5057 0.2477  6 O 1.94-2.06
O: 0.8491 0.7765 0.9129  2 Ta 1.97-2.05, 1 Cu 2.01
O: 0.2235 0.1509 0.0871  2 Ta 1.97-2.05, 1 Cu 2.01
O: 0.3524 0.6476 0.0000  2 Ta 1.94
Cu: 0.1614 0.8386 0.5000  4 O 2.01
Ta: 0.4943 0.0011 0.7523  6 O 1.94-2.06

**N(E_F)**: 0.0 states/eV/f.u.
**Space-group type**: Imm2, No. 44
**Mass density**: 7.7 g cm⁻³

--- B ---
A plane-wave DFT calculation with PBE was carried out for a relaxed Ta2CuO6 crystal.

Cell: 4.8011 4.8011 9.1742 Å, 90.00 90.00 90.00°
Closest atoms and distances in Å follow each position.
Sites, in units of the cell vectors:
O: 0.2960 0.2960 0.6758  2 Ta 1.99-2.01, 1 Cu 2.13
O: 0.7040 0.7040 0.6758  2 Ta 1.99-2.01, 1 Cu 2.13
O: 0.7960 0.2040 0.1758  2 Ta 1.99-2.01, 1 Cu 2.13
O: 0.3119 0.3119 0.0000  2 Ta 2.01, 1 Cu 2.12
O: 0.8119 0.1881 0.5000  2 Ta 2.01, 1 Cu 2.12
Cu: 0.0000 0.0000 0.0000  6 O 2.12-2.13
O: 0.1881 0.8119 0.5000  2 Ta 2.01, 1 Cu 2.12
Cu: 0.5000 0.5000 0.5000  6 O 2.12-2.13
O: 0.2040 0.7960 0.8242  2 Ta 1.99-2.01, 1 Cu 2.13
Ta: 0.5000 0.5000 0.1686  6 O 1.99-2.01
Ta: 0.0000 0.0000 0.6686  6 O 1.99-2.01
Ta: 0.0000 0.0000 0.3314  6 O 1.99-2.01
O: 0.6881 0.6881 0.0000  2 Ta 2.01, 1 Cu 2.12
O: 0.7040 0.7040 0.3242  2 Ta 1.99-2.01, 1 Cu 2.13
O: 0.7960 0.2040 0.8242  2 Ta 1.99-2.01, 1 Cu 2.13
O: 0.2960 0.2960 0.3242  2 Ta 1.99-2.01, 1 Cu 2.13
Ta: 0.5000 0.5000 0.8314  6 O 1.99-2.01
O: 0.2040 0.7960 0.1758  2 Ta 1.99-2.01, 1 Cu 2.13

**N(E_F)**: 4.3 states/eV/f.u.
**Space-group type**: P4_2/mnm, No. 136
**Mass density**: 8.2 g cm⁻³

Short version: B is the most stable of them.

--- A ---
A plane-wave DFT calculation with PBE was carried out for a relaxed Ta2CuO6 crystal.

Cell: 3.8275 6.6550 5.3134 Å, 64.13 68.89 73.29°
Closest atoms and distances in Å follow each position.
Sites, in units of the cell vectors:
O: 0.6964 0.9297 0.6776  3 Ta 2.00-2.18
Cu: 0.0000 0.5000 0.5000  2 O 1.91
O: 0.0119 0.7883 0.1880  1 Ta 1.90, 1 Cu 1.91
Ta: 0.8172 0.1478 0.2179  4 O 1.82-2.00
O: 0.6562 0.4137 0.2739  1 Ta 1.82
O: 0.9881 0.2117 0.8120  1 Ta 1.90, 1 Cu 1.91
O: 0.3036 0.0703 0.3224  3 Ta 2.00-2.18
O: 0.3438 0.5863 0.7261  1 Ta 1.82
Ta: 0.1828 0.8522 0.7821  4 O 1.82-2.00

**N(E_F)**: 0.7 states/eV/f.u.
**Space-group type**: C2/m, No. 12
**Mass density**: 7.7 g cm⁻³

--- B ---
A plane-wave DFT calculation with PBE was carried out for a relaxed Ta2CuO6 crystal.

Cell: 6.5779 6.5779 6.5779 Å, 110.28 109.18 108.96°
Closest atoms and distances in Å follow each position.
Sites, in units of the cell vectors:
O: 0.8226 0.1291 0.3065  1 Cu 1.99, 2 Ta 2.03
O: 0.9038 0.7074 0.1965  2 Ta 1.95
Ta: 0.5000 0.5000 0.5000  6 O 1.95-2.03
O: 0.4891 0.2926 0.1965  2 Ta 1.95
O: 0.6839 0.1882 0.8721  1 Cu 1.99, 2 Ta 2.03
O: 0.3161 0.8118 0.1279  1 Cu 1.99, 2 Ta 2.03
Ta: 0.0000 0.5000 0.0000  6 O 1.95-2.03
Ta: 0.0000 0.0000 0.5000  6 O 1.95-2.03
O: 0.8226 0.5161 0.6935  1 Cu 1.99, 2 Ta 2.03
Ta: 0.5000 0.0000 0.0000  6 O 1.95-2.03
O: 0.1774 0.4839 0.3065  1 Cu 1.99, 2 Ta 2.03
O: 0.5109 0.7074 0.8035  2 Ta 1.95
O: 0.3161 0.1882 0.5043  1 Cu 1.99, 2 Ta 2.03
O: 0.1774 0.8709 0.6935  1 Cu 1.99, 2 Ta 2.03
O: 0.6839 0.8118 0.4957  1 Cu 1.99, 2 Ta 2.03
Cu: 0.0000 0.5000 0.5000  4 O 1.99
Cu: 0.5000 0.0000 0.5000  4 O 1.99
O: 0.0962 0.2926 0.8035  2 Ta 1.95

**N(E_F)**: 0.9 states/eV/f.u.
**Space-group type**: Immm, No. 71
**Mass density**: 7.9 g cm⁻³

Short version: B is the most stable of them.

--- A ---
A plane-wave DFT calculation with PBE was carried out for a relaxed TaCu3O crystal.

Cell: 4.7902 4.7902 4.7902 Å, 90.00 90.00 90.00°
Closest atoms and distances in Å follow each position.
Sites, in units of the cell vectors:
Cu: 0.0000 0.5000 0.0000  2 Ta 2.40
Ta: 0.0000 0.0000 0.0000  6 Cu 2.40
Cu: 0.5000 0.0000 0.0000  2 Ta 2.40
O: 0.5000 0.5000 0.5000  12 Cu 3.39
Cu: 0.0000 0.0000 0.5000  2 Ta 2.40

**N(E_F)**: 7.6 states/eV/f.u.
**Space-group type**: Pm-3m, No. 221
**Mass density**: 5.9 g cm⁻³

--- B ---
A plane-wave DFT calculation with PBE was carried out for a relaxed TaCu3O crystal.

Cell: 4.0269 4.0269 4.0269 Å, 90.00 90.00 90.00°
Closest atoms and distances in Å follow each position.
Sites, in units of the cell vectors:
Ta: 0.5000 0.5000 0.5000  12 Cu 2.85
Cu: 0.0000 0.0000 0.5000  2 O 2.01
O: 0.0000 0.0000 0.0000  6 Cu 2.01
Cu: 0.5000 0.0000 0.0000  2 O 2.01
Cu: 0.0000 0.5000 0.0000  2 O 2.01

**N(E_F)**: 4.8 states/eV/f.u.
**Space-group type**: Pm-3m, No. 221
**Mass density**: 9.9 g cm⁻³

Short version: B is the most stable of them.

--- A ---
A plane-wave DFT calculation with PBE was carried out for a relaxed CuTc2O2 crystal.

Cell: 6.6116 6.6116 2.5577 Å, 90.00 90.00 90.00°
Closest atoms and distances in Å follow each position.
Sites, in units of the cell vectors:
O: 0.3660 0.1340 0.5000  6 Tc 2.18-2.44
Cu: 0.0000 0.0000 0.0000  4 Tc 2.44, 2 Cu 2.56
Cu: 0.5000 0.5000 0.0000  4 Tc 2.44, 2 Cu 2.56
Tc: 0.6766 0.1766 0.0000  6 O 2.18-2.44, 2 Cu 2.44
Tc: 0.8234 0.6766 0.0000  6 O 2.18-2.44, 2 Cu 2.44
O: 0.6340 0.8660 0.5000  6 Tc 2.18-2.44
O: 0.8660 0.3660 0.5000  6 Tc 2.18-2.44
Tc: 0.1766 0.3234 0.0000  6 O 2.18-2.44, 2 Cu 2.44
O: 0.1340 0.6340 0.5000  6 Tc 2.18-2.44
Tc: 0.3234 0.8234 0.0000  6 O 2.18-2.44, 2 Cu 2.44

**N(E_F)**: 4.1 states/eV/f.u.
**Space-group type**: P4/mbm, No. 127
**Mass density**: 8.7 g cm⁻³

--- B ---
A plane-wave DFT calculation with PBE was carried out for a relaxed CuTc2O2 crystal.

Cell: 3.3385 3.3385 5.6271 Å, 72.74 72.74 90.00°
Closest atoms and distances in Å follow each position.
Sites, in units of the cell vectors:
Tc: 0.3752 0.3752 0.2496  4 O 2.10
O: 0.2500 0.7500 0.5000  4 Tc 2.10
O: 0.7500 0.2500 0.5000  4 Tc 2.10
Cu: 0.0000 0.0000 0.0000  8 Tc 2.68
Tc: 0.6248 0.6248 0.7504  4 O 2.10

**N(E_F)**: 4.6 states/eV/f.u.
**Space-group type**: I4/mmm, No. 139
**Mass density**: 8.5 g cm⁻³

Short version: B is the most stable of them.

--- A ---
A plane-wave DFT calculation with PBE was carried out for a relaxed YCuTc2O crystal.

Cell: 5.3556 4.1398 5.3556 Å, 90.00 90.00 90.00°
Closest atoms and distances in Å follow each position.
Sites, in units of the cell vectors:
Tc: 0.5000 0.0000 0.0000  2 Y 2.68
Y: 0.0000 0.0000 0.0000  2 O 2.07
Tc: 0.0000 0.0000 0.5000  2 Y 2.68
Cu: 0.5000 0.5000 0.5000  8 Tc 3.38, 4 O 3.79
O: 0.0000 0.5000 0.0000  2 Y 2.07

**N(E_F)**: 6.4 states/eV/f.u.
**Space-group type**: P4/mmm, No. 123
**Mass density**: 5.1 g cm⁻³

--- B ---
A plane-wave DFT calculation with PBE was carried out for a relaxed YCuTc2O crystal.

Cell: 4.8747 3.5980 4.8747 Å, 90.00 90.00 90.00°
Closest atoms and distances in Å follow each position.
Sites, in units of the cell vectors:
Y: 0.5000 0.5000 0.5000  8 Tc 3.03
Tc: 0.5000 0.0000 0.0000  2 Cu 2.44
O: 0.0000 0.5000 0.0000  2 Cu 1.80
Tc: 0.0000 0.0000 0.5000  2 Cu 2.44
Cu: 0.0000 0.0000 0.0000  2 O 1.80

**N(E_F)**: 5.4 states/eV/f.u.
**Space-group type**: P4/mmm, No. 123
**Mass density**: 7.1 g cm⁻³

Short version: B is the most stable of them.